1.
# La3CoPd

A relaxed structure of La3CoPd (GGA-PBE, the Alexandria database).

```
La3CoPd
1.0
7.239 0.000 0.000
0.000 7.112 -1.930
0.000 0.747 10.126
La Co Pd
12 4 4
direct
0.312 0.147 0.247
0.688 0.853 0.753
0.812 0.353 0.253
0.188 0.647 0.747
0.984 0.785 0.075
0.016 0.215 0.925
0.484 0.715 0.425
0.516 0.285 0.575
0.501 0.731 0.056
0.499 0.269 0.944
0.001 0.769 0.444
0.999 0.231 0.556
0.296 0.951 0.950
0.704 0.049 0.050
0.796 0.549 0.550
0.204 0.451 0.450
0.708 0.991 0.317
0.292 0.009 0.683
0.208 0.509 0.183
0.792 0.491 0.817
```

Computed properties:
The calculation puts the density of states at the Fermi level at 4.5 states/eV/f.u. As for the energy: -5.7878 eV per atom. The value obtained for the magnetic moment is 0.000 μB per cell. Its energy above the lowest structure with this stoichiometry is 0.0 meV per atom. Its calculated formation energy is -0.37 eV/atom.

---

2.
# LaCo2Pd2

A relaxed structure of LaCo2Pd2 (GGA-PBE, the Alexandria database).

```
LaCo2Pd2
1.0
7.409 0.000 0.000
0.000 7.409 0.000
0.000 0.000 3.056
Co Pd La
4 4 2
direct
0.388 0.888 0.000
0.888 0.612 0.000
0.612 0.112 0.000
0.112 0.388 0.000
0.180 0.680 0.500
0.680 0.820 0.500
0.820 0.320 0.500
0.320 0.180 0.500
0.000 0.000 0.000
0.500 0.500 0.000
```

Computed properties:
The calculation puts the density of states at the Fermi level at 6.0 states/eV/f.u. As for the energy: -5.9613 eV per atom. The value obtained for the magnetic moment is 6.879 μB per cell. Its energy above the lowest structure with this stoichiometry is 164.7 meV per atom. Its calculated formation energy is -0.06 eV/atom.

---

3.
# La6CoPd3

A relaxed structure of La6CoPd3 (GGA-PBE, the Alexandria database).

```
La6CoPd3
1.0
-6.083 -0.537 -3.391
-3.719 -0.718 6.786
-1.292 10.736 0.429
La Co Pd
12 2 6
direct
0.316 0.831 0.929
0.337 0.811 0.577
0.347 0.549 0.257
0.653 0.451 0.743
0.663 0.189 0.423
0.684 0.169 0.071
0.816 0.669 0.429
0.837 0.689 0.077
0.847 0.951 0.757
0.153 0.049 0.243
0.163 0.311 0.923
0.184 0.331 0.571
0.500 0.500 0.500
0.000 0.000 0.000
0.447 0.112 0.748
0.500 0.500 0.000
0.553 0.888 0.252
0.947 0.388 0.248
0.000 0.000 0.500
0.053 0.612 0.752
```

Computed properties:
The calculation puts the density of states at the Fermi level at 8.4 states/eV/f.u. As for the energy: -5.7249 eV per atom. The value obtained for the magnetic moment is 0.000 μB per cell. Its calculated formation energy is -0.50 eV/atom.

---

4.
# La5CoPd

A relaxed structure of La5CoPd (GGA-PBE, the Alexandria database).

```
La5CoPd
1.0
-5.207 -4.749 -0.787
5.054 0.096 -4.973
6.963 -3.471 7.379
La Co Pd
10 2 2
direct
0.763 0.054 0.146
0.068 0.767 0.498
0.593 0.383 0.646
0.314 0.064 0.250
0.769 0.570 0.002
0.231 0.430 0.998
0.686 0.936 0.750
0.407 0.617 0.354
0.932 0.233 0.502
0.237 0.946 0.854
0.000 0.000 0.000
0.500 0.000 0.500
0.713 0.463 0.250
0.287 0.537 0.750
```

Computed properties:
The calculation puts the density of states at the Fermi level at 8.4 states/eV/f.u. As for the energy: -5.4523 eV per atom. The value obtained for the magnetic moment is 0.000 μB per cell. Its calculated formation energy is -0.18 eV/atom.